Entry from the Alexandria database: CrOs4Ru2Rh after structural relaxation (PBE).

Output
V	244.9	Å³ per cell
calculated total energy	-146.53	eV/cell
DFT formation energy	898	meV/atom
magnetic moment	0.000	μB per formula unit
Fermi-level density of states	20.7	states/eV/cell

abc: 7.3280 7.3280 5.2458
angles: 110.83 110.83 87.70
Closest atoms and distances in Å follow each position.
Sites, in units of the cell vectors:
Cr1 0.0000 0.5000 0.0000  2 Os 2.25
Cr2 0.5000 0.0000 0.5000  2 Os 2.25
Os1 0.2232 0.2791 0.0010  1 Cr 2.25
Os2 0.2373 0.7614 0.0000  3 Ru 2.42-2.65, 2 Os 2.62-2.63, 2 Cr 2.64-2.66, 1 Rh 2.66
Os3 0.2386 0.7627 0.5000  3 Ru 2.42-2.65, 2 Os 2.62-2.63, 2 Cr 2.64-2.66, 1 Rh 2.66
Os4 0.2791 0.2232 0.5010  1 Cr 2.25
Os5 0.7209 0.7768 0.4990  1 Cr 2.25
Os6 0.7614 0.2373 0.5000  3 Ru 2.42-2.65, 2 Os 2.62-2.63, 2 Cr 2.64-2.66, 1 Rh 2.66
Os7 0.7627 0.2386 0.0000  3 Ru 2.42-2.65, 2 Os 2.62-2.63, 2 Cr 2.64-2.66, 1 Rh 2.66
Os8 0.7768 0.7209 0.9990  1 Cr 2.25
Ru1 0.0000 0.0000 0.0000  6 Os 2.42-2.67, 2 Ru 2.62
Ru2 0.0000 0.0000 0.5000  6 Os 2.42-2.67, 2 Ru 2.62
Ru3 0.0000 0.5000 0.5000  2 Cr 2.62, 6 Os 2.65-2.82
Ru4 0.5000 0.0000 0.0000  2 Cr 2.62, 6 Os 2.65-2.82
Rh1 0.5000 0.5000 0.0000  2 Rh 2.62, 6 Os 2.65-2.66
Rh2 0.5000 0.5000 0.5000  2 Rh 2.62, 6 Os 2.65-2.66